No. 1
PBEsol KBaTl2, optimized geometry; formation energy from the elements = -0.23 eV/atom; offset from the most stable computed form = 0 meV per atom; size of the total moment = 0.000 μB/atom
1.0
-3.3154 2.1123 -0.1028
-2.4104 -3.6008 3.7509
2.0767 3.4910 4.6858
K Ba Tl
1 1 2
direct
0.3754 0.5000 0.8314
0.3747 0.0000 0.4217
0.8750 0.0000 0.9488
0.8748 0.5000 0.2981


No. 2
PBEsol Pt2Au, optimized geometry; formation energy from the elements = 0.04 eV/atom; offset from the most stable computed form = 0 meV per atom; size of the total moment = 0.000 μB/atom
1.0
-0.5479 0.4877 2.6865
2.2548 -1.4687 -0.7169
3.7272 5.8716 -0.3057
Au Pt
1 2
direct
0.0000 0.0000 0.0000
0.3333 0.6667 0.6631
0.6667 0.3333 0.3369


No. 3
PBEsol Zr4CuBr, optimized geometry; uncorrected formation energy = 0.607 eV/atom; size of the total moment = 0.000 μB/atom
1.0
-2.1707 2.8870 4.3513
-5.5889 0.7804 0.3690
-2.9750 -2.6984 3.9810
Zr Cu Br
4 1 1
direct
0.8821 0.3726 0.3726
0.3726 0.8821 0.3726
0.3726 0.3726 0.3726
0.3726 0.3726 0.8821
0.0000 0.0000 0.0000
0.7500 0.7500 0.7500


No. 4
PBEsol TaCo2H2, optimized geometry; total DFT energy (no corrections) = -7.0817 eV/atom; size of the total moment = 0.000 μB/atom
1.0
-1.0348 -2.4093 -1.8484
2.9177 -1.3301 0.1004
-1.9896 -0.1832 4.1367
H Co Ta
2 2 1
direct
0.7500 0.2500 0.5000
0.2500 0.7500 0.5000
0.6604 0.6604 0.3207
0.3396 0.3396 0.6793
0.0000 0.0000 0.0000


No. 5
PBEsol CuPdAu2, optimized geometry; formation energy from the elements = -0.05 eV/atom; size of the total moment = 0.000 μB/atom
1.0
-2.2107 -2.6716 2.7112
-0.8028 -4.1629 -1.1835
2.0902 -3.3048 2.0210
Au Pd Cu
2 1 1
direct
0.7500 0.7500 0.7500
0.2500 0.2500 0.2500
0.5000 0.5000 0.5000
0.0000 0.0000 0.0000


No. 6
PBEsol Re2NiPt, optimized geometry; formation energy from the elements = 0.07 eV/atom; offset from the most stable computed form = 108 meV per atom; size of the total moment = 0.000 μB/atom
1.0
2.6914 0.0000 0.0000
1.3457 2.3308 0.0000
1.3457 0.7769 8.7541
Ni Pt Re
1 1 2
direct
0.5000 0.5000 0.5000
0.0000 0.0000 0.0000
0.7541 0.7541 0.7378
0.2459 0.2459 0.2622


No. 7
PBEsol TeOs2W, optimized geometry; uncorrected formation energy = 0.762 eV/atom; size of the total moment = 0.000 μB/atom
1.0
2.9557 0.0000 0.0000
0.0000 4.7154 0.0010
0.0000 -0.9779 4.6129
Te Os W
1 2 1
direct
0.5000 0.0000 0.0000
0.0000 0.0000 0.5000
0.0000 0.5000 0.0000
0.5000 0.5000 0.5000


No. 8
PBEsol MnCuTe2, optimized geometry; uncorrected formation energy = 0.666 eV/atom; size of the total moment = 1.019 μB/atom
1.0
-4.0622 2.7078 -0.3489
-1.9150 0.9842 -4.3954
-4.2189 -2.0800 -1.3528
Mn Te Cu
1 2 1
direct
0.2500 0.2500 0.2500
0.0000 0.0000 0.0000
0.7500 0.7500 0.7500
0.5000 0.5000 0.5000


No. 9
PBEsol RbAlGeB2, optimized geometry; formation energy from the elements = 1.69 eV/atom; size of the total moment = 0.000 μB/atom
1.0
-0.3073 3.0580 -3.0451
-3.7258 -1.7285 -1.3598
-2.7529 3.1928 3.4841
Ge B Al Rb
1 2 1 1
direct
0.5000 0.5000 0.5000
0.5000 0.0000 0.0000
0.0000 0.5000 0.0000
0.0000 0.0000 0.0000
0.0000 0.0000 0.5000


No. 10
PBEsol NiPtRh, optimized geometry; formation energy from the elements = 0.00 eV/atom; offset from the most stable computed form = 0 meV per atom; size of the total moment = 0.280 μB/atom
1.0
-2.3110 0.0408 1.3649
0.3534 -2.5738 0.6755
3.6469 2.8064 3.4515
Ni Pt Rh
1 1 1
direct
0.9968 0.9968 0.9936
0.6613 0.6613 0.3225
0.3420 0.3420 0.6839


No. 11
PBEsol La2InNiSe, optimized geometry; uncorrected formation energy = 0.689 eV/atom; size of the total moment = 0.000 μB/atom
1.0
-2.3159 4.1491 -1.5902
-4.5623 -3.2494 -1.8338
-2.5497 0.6004 5.2796
La In Ni Se
2 1 1 1
direct
0.0000 0.0000 0.5000
0.0000 0.5000 0.0000
0.0000 0.0000 0.0000
0.5000 0.5000 0.5000
0.5000 0.0000 0.0000


No. 12
PBEsol Mg2SbRh2, optimized geometry; uncorrected formation energy = -0.396 eV/atom; size of the total moment = 0.000 μB/atom
1.0
4.0971 0.0000 0.0000
0.0000 6.5983 0.0000
0.0000 0.0000 6.5983
Mg Rh Sb
4 4 2
direct
0.5000 0.8421 0.3421
0.5000 0.3421 0.1579
0.5000 0.1579 0.6579
0.5000 0.6579 0.8421
0.0000 0.3556 0.8556
0.0000 0.8556 0.6444
0.0000 0.6444 0.1444
0.0000 0.1444 0.3556
0.0000 0.5000 0.5000
0.0000 0.0000 0.0000